Entry from Alexandria via LeMat-Bulk: an optimized crystal structure of Zr3ScGe (PBE).

Properties
DOS at the Fermi energy = 1.216 states/eV per atom
SG = Pm-3m, No. 221
ρ = 4.96 g/cm³
excess energy over the best structure of this formula in the dataset = 0 meV/atom
DFT formation energy = 190 meV per atom

a = 5.078 Å, b = 5.078 Å, c = 5.078 Å
α = 90.00°, β = 90.00°, γ = 90.00°
Atoms (fractional coordinates):
Zr (0.000, 0.000, 0.500)
Zr (0.000, 0.500, 0.000)
Zr (0.500, 0.000, 0.000)
Sc (0.500, 0.500, 0.500)
Ge (0.000, 0.000, 0.000)